# Ce2RhSe

An optimized crystal structure of Ce2RhSe (PBE-GGA, the Alexandria database).

The space group is R-3m (No. 166, hexagonal axes) and the conventional cell measures 4.0236, 4.0236 and 21.6326 Å, with angles of 90.00, 90.00 and 120.00 degrees. The distinct sites, in fractional coordinates, are Ce at (0.0000, 0.0000, 0.2431), Rh at (0.0000, 0.0000, 0.5000) and Se at (0.0000, 0.0000, 0.0000).

The total energy is -6.861 eV/atom. As for the polymorph energy (0 for the lowest one): 0 meV/atom.



# CeRhSe

An optimized crystal structure of CeRhSe (PBE-GGA, the Alexandria database).

The space group is I4mm (No. 107) and the conventional cell measures 3.796, 3.796 and 8.940 Å, with angles of 90.00, 90.00 and 90.00 degrees. The distinct sites, in fractional coordinates, are Ce at (0.000, 0.000, 0.000), Rh at (0.000, 0.000, 0.629) and Se at (0.000, 0.000, 0.338).

The total energy is -6.470 eV/atom. As for the polymorph energy (0 for the lowest one): 323 meV/atom.



# Ce5RhSe4

An optimized crystal structure of Ce5RhSe4 (PBE-GGA, the Alexandria database).

The space group is I4/mmm (No. 139) and the conventional cell measures 4.186, 4.186 and 29.485 Å, with angles of 90.00, 90.00 and 90.00 degrees. The distinct sites, in fractional coordinates, are Ce at (0.000, 0.000, 0.000), Ce at (0.000, 0.000, 0.202), Ce at (0.000, 0.000, 0.405), Rh at (0.000, 0.000, 0.500), Se at (0.000, 0.000, 0.101) and Se at (0.000, 0.000, 0.303).

The total energy is -6.649 eV/atom.



# CeRhSe

An optimized crystal structure of CeRhSe (PBE-GGA, the Alexandria database).

The space group is F-43m (No. 216) and the conventional cell measures 6.444, 6.444 and 6.444 Å, with angles of 90.00, 90.00 and 90.00 degrees. The distinct sites, in fractional coordinates, are Ce at (0.000, 0.000, 0.000), Rh at (0.250, 0.250, 0.250) and Se at (0.000, 0.000, 0.500).

The total energy is -6.649 eV/atom. As for the polymorph energy (0 for the lowest one): 143 meV/atom.



# Ce2Tl3RhSe6

An optimized crystal structure of Ce2Tl3RhSe6 (PBE-GGA, the Alexandria database).

The space group is C2/m (No. 12) and the conventional cell measures 6.976, 12.308 and 8.227 Å, with angles of 90.00, 107.30 and 90.00 degrees. The distinct sites, in fractional coordinates, are Ce at (0.000, 0.162, 0.000), Tl at (0.000, 0.000, 0.500), Tl at (0.000, 0.320, 0.500), Rh at (0.000, 0.500, 0.000), Se at (0.212, 0.348, 0.194) and Se at (0.231, 0.500, 0.786).

The total energy is -4.877 eV/atom.



# CeTl3Rh2Se6

An optimized crystal structure of CeTl3Rh2Se6 (PBE-GGA, the Alexandria database).

The space group is C2/m (No. 12) and the conventional cell measures 6.487, 11.317 and 8.607 Å, with angles of 90.00, 106.32 and 90.00 degrees. The distinct sites, in fractional coordinates, are Ce at (0.000, 0.000, 0.000), Tl at (0.000, 0.159, 0.500), Tl at (0.000, 0.500, 0.500), Rh at (0.000, 0.333, 0.000), Se at (0.192, 0.500, 0.181) and Se at (0.245, 0.313, 0.815).

The total energy is -4.730 eV/atom.